Entry 1:
Material: UGa3Ir3
Method: DFT, GGA-PBE
State: relaxed

Structure (extended XYZ):
```
14
Lattice="6.7505 0.0000 0.0000 0.0000 6.7505 0.0000 0.0000 0.0000 6.7505" Properties=species:S:1:pos:R:3 pbc="T T T"
U 0.0000 0.0000 0.0000
U 3.3752 3.3752 3.3752
Ga 0.0000 1.6876 3.3752
Ga 0.0000 5.0628 3.3752
Ga 1.6876 3.3752 0.0000
Ga 3.3752 0.0000 1.6876
Ga 3.3752 0.0000 5.0628
Ga 5.0628 3.3752 0.0000
Ir 0.0000 3.3752 1.6876
Ir 0.0000 3.3752 5.0628
Ir 1.6876 0.0000 3.3752
Ir 3.3752 1.6876 0.0000
Ir 3.3752 5.0628 0.0000
Ir 5.0628 0.0000 3.3752
```

Computed properties:
The energy above the most stable polymorph in this dataset is 771.6 meV per atom. As for the symmetry: Pm-3n. The calculation puts the total magnetic moment at 2.895 μB per formula unit. The total energy is -6.396 eV/atom. The calculated formation energy comes out at 0.31 eV/atom.

Entry 2:
Material: AcTmSn
Method: DFT, GGA-PBE
State: relaxed

Structure (extended XYZ):
```
3
Lattice="5.1527 0.0000 0.0000 -2.5763 4.4623 0.0000 0.0000 0.0000 4.4981" Properties=species:S:1:pos:R:3 pbc="T T T"
Ac 0.0000 0.0000 0.0000
Tm 2.5763 1.4874 2.2508
Sn 0.0000 2.9749 2.2440
```

Computed properties:
The energy above the most stable polymorph in this dataset is 193.8 meV per atom. As for the symmetry: P3m1. The calculation puts the total magnetic moment at 0.000 μB per formula unit. The total energy is -4.598 eV/atom. The calculated formation energy comes out at -0.40 eV/atom.

Entry 3:
Material: NaS
Method: DFT, GGA-PBE
State: relaxed

Structure (extended XYZ):
```
16
Lattice="9.2798 0.0000 0.0000 0.0000 9.2798 0.0000 0.0000 0.0000 4.8298" Properties=species:S:1:pos:R:3 pbc="T T T"
Na 0.6242 2.5245 0.0000
Na 2.1154 4.0157 2.4149
Na 2.5245 8.6556 0.0000
Na 4.0157 7.1644 2.4149
Na 5.2640 2.1154 2.4149
Na 6.7553 0.6242 0.0000
Na 7.1644 5.2640 2.4149
Na 8.6556 6.7553 0.0000
S 1.3766 6.5641 2.4149
S 1.9243 6.0165 0.0000
S 2.7156 1.3766 2.4149
S 3.2633 1.9243 0.0000
S 6.0165 7.3555 0.0000
S 6.5641 7.9032 2.4149
S 7.3555 3.2633 0.0000
S 7.9032 2.7156 2.4149
```

Computed properties:
The energy above the most stable polymorph in this dataset is 310.7 meV per atom. As for the symmetry: P4/mnc. The calculation puts the total magnetic moment at 0.000 μB per formula unit. The total energy is -3.242 eV/atom. As for the uncorrected formation energy: -0.519 eV per atom.

Entry 4:
Material: SbRu2
Method: DFT, GGA-PBE
State: relaxed

Structure (extended XYZ):
```
6
Lattice="2.9896 0.0000 0.0000 0.0000 7.6325 0.0000 0.0000 0.0000 4.3365" Properties=species:S:1:pos:R:3 pbc="T T T"
Sb 0.0000 0.0000 0.0000
Sb 1.4948 3.8162 2.1683
Ru 0.6712 2.5419 0.0000
Ru 0.8236 6.3581 2.1683
Ru 2.1660 1.2744 2.1683
Ru 2.3184 5.0906 0.0000
```

Computed properties:
As for the symmetry: Pnnm. The calculation puts the total magnetic moment at 0.000 μB per formula unit. The total energy is -7.273 eV/atom. As for the uncorrected formation energy: 0.285 eV per atom.

Entry 5:
Material: SmY4Er5
Method: DFT, GGA-PBE
State: relaxed

Structure (extended XYZ):
```
10
Lattice="6.1370 0.0000 0.0000 2.0455 5.7884 0.0000 3.0561 0.0199 8.8608" Properties=species:S:1:pos:R:3 pbc="T T T"
Sm 0.0000 0.0000 0.0000
Y 4.0852 2.9036 3.5662
Y 3.0659 0.0047 1.7891
Y 7.1513 2.9073 5.3440
Y 6.1309 0.0090 3.5633
Er 4.0806 2.9116 7.1091
Er 3.0603 0.0132 5.3532
Er 4.0903 2.8945 0.0107
Er 6.1264 0.0165 7.0999
Er 7.1560 2.8976 1.7756
```

Computed properties:
As for the symmetry: P1. The calculation puts the total magnetic moment at 0.000 μB per formula unit. The total energy is -5.315 eV/atom. The calculated formation energy comes out at 0.02 eV/atom.

Entry 6:
Material: Nb2FeGe
Method: DFT, GGA-PBE
State: relaxed

Structure (extended XYZ):
```
8
Lattice="-3.4589 3.4589 2.7790 3.4589 -3.4589 2.7790 3.4589 3.4589 -2.7790" Properties=species:S:1:pos:R:3 pbc="T T T"
Nb 5.1884 1.5253 -0.6947
Nb 1.5253 1.7295 0.6947
Nb -1.7295 1.9336 2.0842
Nb 1.9336 1.7295 3.4737
Fe 0.0000 0.0000 0.0000
Fe 0.0000 3.4589 1.3895
Ge 3.4589 0.0000 1.3895
Ge 0.0000 0.0000 2.7790
```

Computed properties:
As for the symmetry: I-42d. The calculation puts the total magnetic moment at 0.025 μB per formula unit. The total energy is -8.064 eV/atom. The calculated formation energy comes out at 0.24 eV/atom.

Entry 7:
Material: BaZr2Ru
Method: DFT, GGA-PBE
State: relaxed

Structure (extended XYZ):
```
4
Lattice="2.1166 1.2220 7.6637 -2.1166 1.2220 7.6637 0.0000 -2.4440 7.6637" Properties=species:S:1:pos:R:3 pbc="T T T"
Ba 0.0000 0.0000 0.0000
Zr 0.0000 0.0000 4.7768
Zr 0.0000 0.0000 10.3412
Ru 0.0000 0.0000 19.0156
```

Computed properties:
The energy above the most stable polymorph in this dataset is 2.6 meV per atom. As for the symmetry: R3m. The calculation puts the total magnetic moment at 0.000 μB per formula unit. The total energy is -6.992 eV/atom. The calculated formation energy comes out at 0.08 eV/atom.

Entry 8:
Material: MgAg2
Method: DFT, GGA-PBE
State: relaxed

Structure (extended XYZ):
```
6
Lattice="5.1864 -1.6969 0.0000 5.1864 1.6969 0.0000 -2.1592 0.0000 6.2853" Properties=species:S:1:pos:R:3 pbc="T T T"
Mg 1.5005 0.0000 0.7562
Mg 6.7130 0.0000 5.5291
Ag 0.4105 0.0000 3.5084
Ag 4.4696 0.0000 1.3937
Ag 3.7439 0.0000 4.8916
Ag 7.8031 0.0000 2.7769
```

Computed properties:
The energy above the most stable polymorph in this dataset is 45.4 meV per atom. As for the symmetry: C2/m. The calculation puts the total magnetic moment at 0.000 μB per formula unit. The total energy is -2.564 eV/atom. The calculated formation energy comes out at -0.13 eV/atom.